## Al2Ru (PBE)

Data for a relaxed Al2Ru crystal.

Geometry as POSCAR:
```
Al2Ru
1.0
2.990 0.000 0.000
0.000 2.990 0.000
0.000 0.000 21.267
Al Ru
8 4
Cartesian
0.000 0.747 6.539
0.000 0.747 9.412
0.000 2.242 11.856
0.000 2.242 14.728
1.495 0.747 1.222
1.495 0.747 4.095
1.495 2.242 17.173
1.495 2.242 20.045
0.000 0.747 18.609
0.000 2.242 2.658
1.495 0.747 13.292
1.495 2.242 7.975
```

## Properties
Final energy = -18.035 eV/f.u.
ΔH_f (0 K) = -0.425 eV per atom
Calculated volume = 15.84 Å³ per atom